Material: LaNd3Th4S8
Method: DFT, GGA-PBE
State: optimized geometry

Total magnetic moment (μB per atom): 0.000
Density of states at the Fermi level (states/eV/atom): 0.37
DFT total energy (eV per cell): -339.236
Formation energy from raw total energies (kJ/mol of formula units): -3005
Volume (Å³/f.u.): 379.4

a = 8.0733 Å, b = 8.0733 Å, c = 20.1687 Å
α = 90.00°, β = 90.00°, γ = 120.00°
Closest atoms and distances in Å follow each position.
Space group R-3m (No. 166, hexagonal axes)
Symmetry-distinct sites (fractional):
La 0.0000 0.0000 0.0000 [3 per cell]  6 S 2.89
Nd 0.0000 0.5000 0.0000 [9 per cell]  6 S 2.87
Th 0.0000 0.0000 0.5000 [3 per cell]  6 S 2.85
Th 0.0000 0.5000 0.5000 [9 per cell]  6 S 2.87
S 0.0000 0.0000 0.2500 [6 per cell]  3 Nd 2.87, 3 Th 2.87
S 0.0026 0.5013 0.2495 [18 per cell]  3 Th 2.85-2.87, 2 Nd 2.87, 1 La 2.89